P | A plane-wave DFT calculation with PBEsol was carried out for crystalline AlSn2As at its relaxed geometry.

The structure in POSCAR format:
```
AlSn2As
1.0
6.1706 0.0000 0.0000
0.0000 6.1706 0.0000
0.0000 0.0000 12.3594
Al Sn As
4 8 4
Direct
0.0000 0.0000 0.0000 Al
0.0000 0.5000 0.2500 Al
0.5000 0.0000 0.7500 Al
0.5000 0.5000 0.5000 Al
0.2481 0.2500 0.1250 Sn
0.2500 0.7481 0.3750 Sn
0.2500 0.7519 0.8750 Sn
0.2519 0.2500 0.6250 Sn
0.7481 0.7500 0.6250 Sn
0.7500 0.2481 0.8750 Sn
0.7500 0.2519 0.3750 Sn
0.7519 0.7500 0.1250 Sn
0.0000 0.0000 0.5000 As
0.0000 0.5000 0.7500 As
0.5000 0.0000 0.2500 As
0.5000 0.5000 0.0000 As
```

Computed properties:
Calculated volume = 471 Å³ per cell
Space group = I-42d (122)
Magnetic moment = 0.00 μB/f.u.

Q | A plane-wave DFT calculation with PBEsol was carried out for crystalline AlSn2As at its relaxed geometry.

The structure in POSCAR format:
```
AlSn2As
1.0
7.0807 0.0000 0.0000
0.0000 7.0807 0.0000
0.0000 0.0000 7.0807
Al Sn As
4 8 4
Direct
0.0000 0.0000 0.0000 Al
0.0000 0.5000 0.5000 Al
0.5000 0.0000 0.5000 Al
0.5000 0.5000 0.0000 Al
0.2500 0.2500 0.2500 Sn
0.2500 0.2500 0.7500 Sn
0.2500 0.7500 0.2500 Sn
0.2500 0.7500 0.7500 Sn
0.7500 0.2500 0.2500 Sn
0.7500 0.2500 0.7500 Sn
0.7500 0.7500 0.2500 Sn
0.7500 0.7500 0.7500 Sn
0.0000 0.0000 0.5000 As
0.0000 0.5000 0.0000 As
0.5000 0.0000 0.0000 As
0.5000 0.5000 0.5000 As
```

Computed properties:
Calculated volume = 355 Å³ per cell
Space group = Fm-3m (225)
Magnetic moment = 0.00 μB/f.u.

Stability ranking, top entry: P; the second entry is 111 meV/atom less favorable.

P | A plane-wave DFT calculation with PBEsol was carried out for crystalline AlTc2As at its relaxed geometry.

The structure in POSCAR format:
```
AlTc2As
1.0
7.1945 0.0000 0.0000
0.0000 7.1945 0.0000
0.0000 0.0000 5.0562
Al Tc As
4 8 4
Direct
0.0000 0.0000 0.0000 Al
0.0000 0.5000 0.2500 Al
0.5000 0.0000 0.7500 Al
0.5000 0.5000 0.5000 Al
0.1866 0.2500 0.6250 Tc
0.2500 0.6866 0.8750 Tc
0.2500 0.8134 0.3750 Tc
0.3134 0.2500 0.1250 Tc
0.6866 0.7500 0.1250 Tc
0.7500 0.1866 0.3750 Tc
0.7500 0.3134 0.8750 Tc
0.8134 0.7500 0.6250 Tc
0.0000 0.0000 0.5000 As
0.0000 0.5000 0.7500 As
0.5000 0.0000 0.2500 As
0.5000 0.5000 0.0000 As
```

Computed properties:
Calculated volume = 262 Å³ per cell
Space group = I-42d (122)
Magnetic moment = 0.00 μB/f.u.

Q | A plane-wave DFT calculation with PBEsol was carried out for crystalline AlTc2As at its relaxed geometry.

The structure in POSCAR format:
```
AlTc2As
1.0
2.8983 0.0000 0.0000
-1.4491 2.5100 0.0000
0.0000 0.0000 24.4434
Al Tc As
3 6 3
Direct
0.0000 0.0000 0.0000 Al
0.3333 0.6667 0.6667 Al
0.6667 0.3333 0.3333 Al
0.0000 0.0000 0.4977 Tc
0.0000 0.0000 0.7478 Tc
0.3333 0.6667 0.1644 Tc
0.3333 0.6667 0.4144 Tc
0.6667 0.3333 0.0811 Tc
0.6667 0.3333 0.8311 Tc
0.0000 0.0000 0.2420 As
0.3333 0.6667 0.9087 As
0.6667 0.3333 0.5753 As
```

Computed properties:
Calculated volume = 178 Å³ per cell
Space group = R3m (160)
Magnetic moment = 0.00 μB/f.u.

R | A plane-wave DFT calculation with PBEsol was carried out for crystalline AlTc2As at its relaxed geometry.

The structure in POSCAR format:
```
AlTc2As
1.0
2.9553 0.0000 0.0000
0.0000 4.3893 0.0000
0.0000 0.0000 4.3763
Al Tc As
1 2 1
Direct
0.0000 0.0000 0.0000 Al
0.0000 0.5000 0.3133 Tc
0.5000 0.0000 0.5106 Tc
0.5000 0.5000 0.8353 As
```

Computed properties:
Calculated volume = 57 Å³ per cell
Space group = Pmm2 (25)
Magnetic moment = 0.00 μB/f.u.

S | A plane-wave DFT calculation with PBEsol was carried out for crystalline AlTc2As at its relaxed geometry.

The structure in POSCAR format:
```
AlTc2As
1.0
5.6747 0.0000 0.0000
0.0000 7.9981 0.0000
-1.2858 0.0000 2.5565
Al Tc As
2 4 2
Direct
0.0000 0.0000 0.0000 Al
0.5000 0.5000 0.0000 Al
0.2500 0.2500 0.5000 Tc
0.2500 0.7500 0.5000 Tc
0.7500 0.2500 0.5000 Tc
0.7500 0.7500 0.5000 Tc
0.0000 0.5000 0.0000 As
0.5000 0.0000 0.0000 As
```

Computed properties:
Calculated volume = 116 Å³ per cell
Space group = C2/m (12)
Magnetic moment = 0.00 μB/f.u.

Stability ranking, top entry: R; the second entry is 55 meV/atom less favorable.